[1]
Material: Li2CaPd
Method: DFT, GGA-PBE
State: optimized geometry

## Properties
The total energy comes out at -2.964 eV/atom. As for the crystal system: tetragonal. The space group is No. 123. For the energy above the most stable polymorph in this dataset, the calculation gives 153 meV per atom. As for the volume: 19.6 Å³/atom.

abc: 3.5631 3.5631 6.1838
angles: 90.00 90.00 90.00
Atoms (fractional coordinates):
Li  0.0000  0.0000  0.1839
Pd  0.5000  0.5000  0.0000
Li  0.0000  0.0000  0.8161
Ca  0.5000  0.5000  0.5000

***

[2]
Material: Li6CaPd6
Method: DFT, GGA-PBE
State: optimized geometry

## Properties
The total energy comes out at -3.885 eV/atom. As for the crystal system: orthorhombic. The space group is No. 71. As for the volume: 16.4 Å³/atom.

abc: 5.3704 6.8651 6.8651
angles: 77.07 66.97 66.97
Atoms (fractional coordinates):
Li  0.0000  0.3384  0.6616
Pd  0.5000  0.5000  0.0000
Li  0.6472  0.3528  0.3528
Li  0.6955  0.8045  0.8045
Pd  0.0000  0.5000  0.0000
Pd  0.5000  0.0000  0.5000
Pd  0.5000  0.7725  0.2275
Ca  0.0000  0.0000  0.0000
Pd  0.0000  0.0000  0.5000
Pd  0.5000  0.2275  0.7725
Li  0.3045  0.1955  0.1955
Li  0.0000  0.6616  0.3384
Li  0.3528  0.6472  0.6472

***

[3]
Material: Li3CaPd2
Method: DFT, GGA-PBE
State: optimized geometry

## Properties
The total energy comes out at -3.264 eV/atom. As for the crystal system: trigonal. The space group is No. 166. For the energy above the most stable polymorph in this dataset, the calculation gives 182 meV per atom. As for the volume: 18.7 Å³/atom.

abc: 6.0531 6.0531 7.8740
angles: 67.39 67.39 60.00
Atoms (fractional coordinates):
Li  0.7386  0.7386  0.2735
Pd  0.0000  0.0000  0.0000
Pd  0.5000  0.5000  0.0000
Ca  0.7736  0.7736  0.6792
Li  0.7386  0.2493  0.2735
Li  0.2614  0.7507  0.7265
Pd  0.5000  0.0000  0.0000
Pd  0.0000  0.5000  0.0000
Li  0.2493  0.7386  0.2735
Li  0.7507  0.2614  0.7265
Li  0.2614  0.2614  0.7265
Ca  0.2264  0.2264  0.3208

***

[4]
Material: Li2Ca2Pd
Method: DFT, GGA-PBE
State: optimized geometry

## Properties
The total energy comes out at -2.752 eV/atom. As for the crystal system: tetragonal. The space group is No. 127. For the energy above the most stable polymorph in this dataset, the calculation gives 95 meV per atom. As for the volume: 23.7 Å³/atom.

abc: 7.0560 7.0560 4.7666
angles: 90.00 90.00 90.00
Atoms (fractional coordinates):
Li  0.3650  0.8650  0.0000
Li  0.6350  0.1350  0.0000
Li  0.1350  0.3650  0.0000
Ca  0.3091  0.1909  0.5000
Ca  0.8091  0.3091  0.5000
Ca  0.1909  0.6909  0.5000
Li  0.8650  0.6350  0.0000
Pd  0.5000  0.5000  0.0000
Ca  0.6909  0.8091  0.5000
Pd  0.0000  0.0000  0.0000

***

[5]
Material: LiCa3Pd
Method: DFT, GGA-PBE
State: optimized geometry

## Properties
The total energy comes out at -2.856 eV/atom. As for the crystal system: orthorhombic. The space group is No. 65. For the energy above the most stable polymorph in this dataset, the calculation gives 68 meV per atom. As for the volume: 33.8 Å³/atom.

abc: 4.0518 9.4459 9.4443
angles: 69.42 90.00 89.99
Atoms (fractional coordinates):
Li  0.8625  0.1940  0.2465
Pd  0.3639  0.1942  0.7464
Ca  0.3631  0.3861  0.4382
Li  0.3632  0.6942  0.7465
Ca  0.8638  0.3712  0.8172
Ca  0.8629  0.7650  0.4234
Ca  0.8630  0.6234  0.0694
Ca  0.8639  0.0171  0.6758
Pd  0.3630  0.6942  0.2464
Ca  0.3631  0.0022  0.0546

***

[6]
Material: Li3CaPd4
Method: DFT, GGA-PBE
State: optimized geometry

## Properties
The total energy comes out at -4.028 eV/atom. As for the crystal system: tetragonal. The space group is No. 123. As for the volume: 15.7 Å³/atom.

abc: 4.1669 7.2132 8.3339
angles: 90.00 90.00 90.00
Atoms (fractional coordinates):
Li  0.5000  0.0000  0.7500
Pd  0.0000  0.2225  0.2500
Ca  0.0000  0.5000  0.5000
Ca  0.0000  0.5000  0.0000
Li  0.5000  0.0000  0.2500
Pd  0.5000  0.2225  0.5000
Li  0.5000  0.5000  0.2500
Pd  0.0000  0.7775  0.2500
Li  0.0000  0.0000  0.0000
Li  0.0000  0.0000  0.5000
Pd  0.0000  0.7775  0.7500
Pd  0.5000  0.7775  0.0000
Li  0.5000  0.5000  0.7500
Pd  0.5000  0.7775  0.5000
Pd  0.0000  0.2225  0.7500
Pd  0.5000  0.2225  0.0000

***

[7]
Material: Li2CaPd
Method: DFT, GGA-PBE
State: optimized geometry

## Properties
The total energy comes out at -3.022 eV/atom. As for the crystal system: cubic. The space group is No. 225. For the energy above the most stable polymorph in this dataset, the calculation gives 95 meV per atom. As for the volume: 18.8 Å³/atom.

abc: 4.7397 4.7397 4.7397
angles: 60.00 60.00 60.00
Atoms (fractional coordinates):
Li  0.2500  0.2500  0.2500
Li  0.7500  0.7500  0.7500
Ca  0.0000  0.0000  0.0000
Pd  0.5000  0.5000  0.5000

***

[8]
Material: Li2Ca8Pd
Method: DFT, GGA-PBE
State: optimized geometry

## Properties
The total energy comes out at -2.387 eV/atom. As for the crystal system: monoclinic. The space group is No. 12. As for the volume: 34.1 Å³/atom.

abc: 5.5833 7.2752 9.7431
angles: 98.24 106.65 90.00
Atoms (fractional coordinates):
Li  0.8315  0.8305  0.6630
Ca  0.0237  0.7791  0.0474
Li  0.1685  0.1695  0.3370
Ca  0.4134  0.6145  0.8267
Ca  0.3480  0.0794  0.6960
Ca  0.5866  0.3855  0.1733
Ca  0.7887  0.3705  0.5774
Ca  0.9763  0.2209  0.9526
Ca  0.2113  0.6295  0.4226
Pd  0.5000  0.0000  0.0000
Ca  0.6520  0.9206  0.3040

***

[9]
Material: Li5Ca2Pd4
Method: DFT, GGA-PBE
State: optimized geometry

## Properties
The total energy comes out at -3.519 eV/atom. As for the crystal system: orthorhombic. The space group is No. 69. As for the volume: 18.6 Å³/atom.

abc: 5.3143 5.3143 8.6656
angles: 99.20 99.20 118.60
Atoms (fractional coordinates):
Pd  0.7862  0.4701  0.2563
Ca  0.1410  0.1410  0.2820
Li  0.0000  0.5000  0.0000
Pd  0.2138  0.5299  0.7437
Pd  0.5299  0.2138  0.7437
Li  0.5000  0.5000  0.0000
Li  0.7500  0.2500  0.5000
Ca  0.8590  0.8590  0.7180
Li  0.2500  0.7500  0.5000
Pd  0.4701  0.7862  0.2563
Li  0.5000  0.0000  0.0000

***

[10]
Material: Li4Ca2Pd5
Method: DFT, GGA-PBE
State: optimized geometry

## Properties
The total energy comes out at -3.866 eV/atom. As for the crystal system: orthorhombic. The space group is No. 69. As for the volume: 18.1 Å³/atom.

abc: 5.4664 5.4664 7.9947
angles: 100.88 100.88 116.62
Atoms (fractional coordinates):
Ca  0.8738  0.8738  0.7475
Li  0.4746  0.7882  0.2629
Pd  0.5000  0.0000  0.0000
Li  0.5254  0.2118  0.7371
Li  0.2118  0.5254  0.7371
Li  0.7882  0.4746  0.2629
Pd  0.7500  0.2500  0.5000
Pd  0.2500  0.7500  0.5000
Ca  0.1262  0.1262  0.2525
Pd  0.5000  0.5000  0.0000
Pd  0.0000  0.5000  0.0000

***

[11]
Material: Li4Ca3Pd4
Method: DFT, GGA-PBE
State: optimized geometry

## Properties
The total energy comes out at -3.504 eV/atom. As for the crystal system: cubic. The space group is No. 217. For the energy above the most stable polymorph in this dataset, the calculation gives 92 meV per atom. As for the volume: 19.9 Å³/atom.

abc: 6.5808 6.5808 6.5808
angles: 109.47 109.47 109.47
Atoms (fractional coordinates):
Li  0.0000  0.0000  0.2470
Pd  0.0000  0.0000  0.6065
Pd  0.0000  0.6065  0.0000
Ca  0.0000  0.5000  0.5000
Ca  0.5000  0.5000  0.0000
Pd  0.6065  0.0000  0.0000
Ca  0.5000  0.0000  0.5000
Li  0.7530  0.7530  0.7530
Pd  0.3935  0.3935  0.3935
Li  0.2470  0.0000  0.0000
Li  0.0000  0.2470  0.0000

***

[12]
Material: Li6Ca2Pd3
Method: DFT, GGA-PBE
State: optimized geometry

## Properties
The total energy comes out at -3.134 eV/atom. As for the crystal system: hexagonal. The space group is No. 189. As for the volume: 19.5 Å³/atom.

abc: 4.0929 7.7776 7.7776
angles: 120.00 90.00 90.00
Atoms (fractional coordinates):
Ca  0.0000  0.3333  0.6667
Ca  0.0000  0.6667  0.3333
Pd  0.5000  0.5978  0.0000
Pd  0.5000  0.4022  0.4022
Pd  0.5000  0.0000  0.5978
Li  0.0000  0.2128  0.2128
Li  0.5000  0.2627  0.0000
Li  0.0000  0.7872  0.0000
Li  0.0000  0.0000  0.7872
Li  0.5000  0.7373  0.7373
Li  0.5000  0.0000  0.2627

***

no.,calculated density (g/cm3)
1,3.39
2,5.60
3,4.06
4,2.81
5,2.29
6,6.45
7,3.54
8,1.95
9,4.40
10,5.33
11,4.34
12,3.42